# 1
Density functional theory data (PBE) for a relaxed structure of Hg2SbI3.

Geometry as CIF:
```
data_Hg2SbI3
_chemical_formula_sum 'Hg8 Sb4 I12'
_cell_length_a 10.938
_cell_length_b 9.066
_cell_length_c 11.459
_cell_angle_alpha 90.00
_cell_angle_beta 111.84
_cell_angle_gamma 90.00
_space_group_name_H-M_alt 'P 1 21/c 1'
_space_group_IT_number 14
loop_
_space_group_symop_operation_xyz
'x,y,z'
'-x,-y,-z'
'-x,y+1/2,-z+1/2'
'x,-y+1/2,z+1/2'
loop_
_atom_site_label
_atom_site_type_symbol
_atom_site_fract_x
_atom_site_fract_y
_atom_site_fract_z
Hg1 Hg 0.018 0.162 0.058
Hg2 Hg 0.455 0.179 0.464
Sb1 Sb 0.281 0.738 0.497
I1 I 0.191 0.071 0.412
I2 I 0.235 0.615 0.254
I3 I 0.360 0.042 0.127
```

Computed properties:
crystal system	monoclinic
energy relative to the elements, uncorrected	-0.187	eV/atom

---

# 2
Density functional theory data (PBE) for a relaxed structure of HgSbI6.

Geometry as CIF:
```
data_HgSbI6
_chemical_formula_sum 'Hg1 Sb1 I6'
_cell_length_a 7.536
_cell_length_b 7.540
_cell_length_c 8.049
_cell_angle_alpha 62.14
_cell_angle_beta 89.99
_cell_angle_gamma 60.05
_space_group_name_H-M_alt 'P -1'
_space_group_IT_number 2
loop_
_space_group_symop_operation_xyz
'x,y,z'
'-x,-y,-z'
loop_
_atom_site_label
_atom_site_type_symbol
_atom_site_fract_x
_atom_site_fract_y
_atom_site_fract_z
Hg1 Hg 0.000 0.000 0.000
Sb1 Sb 0.500 0.000 0.500
I1 I 0.089 0.167 0.250
I2 I 0.256 0.161 0.750
I3 I 0.417 0.493 0.250
```

Computed properties:
crystal system	triclinic
N(E_F)	1.335	states/eV/atom
energy relative to the elements, uncorrected	-0.121	eV/atom

---

# 3
Density functional theory data (PBE) for a relaxed structure of Hg2SbI6.

Geometry as CIF:
```
data_Hg2SbI6
_chemical_formula_sum 'Hg8 Sb4 I24'
_cell_length_a 15.333
_cell_length_b 13.430
_cell_length_c 8.006
_cell_angle_alpha 90.00
_cell_angle_beta 95.84
_cell_angle_gamma 90.00
_space_group_name_H-M_alt 'C 1 2/c 1'
_space_group_IT_number 15
loop_
_space_group_symop_operation_xyz
'x,y,z'
'-x,-y,-z'
'-x,y,-z+1/2'
'x,-y,z+1/2'
'x+1/2,y+1/2,z'
'-x+1/2,-y+1/2,-z'
'-x+1/2,y+1/2,-z+1/2'
'x+1/2,-y+1/2,z+1/2'
loop_
_atom_site_label
_atom_site_type_symbol
_atom_site_fract_x
_atom_site_fract_y
_atom_site_fract_z
Hg1 Hg 0.188 0.076 0.321
Sb1 Sb 0.000 0.399 0.250
I1 I 0.116 0.094 0.639
I2 I 0.116 0.254 0.123
I3 I 0.122 0.419 0.598
```

Computed properties:
crystal system	monoclinic
N(E_F)	0.276	states/eV/atom
energy relative to the elements, uncorrected	-0.205	eV/atom

---

# 4
Density functional theory data (PBE) for a relaxed structure of HgSbI.

Geometry as CIF:
```
data_HgSbI
_chemical_formula_sum 'Hg4 Sb4 I4'
_cell_length_a 3.704
_cell_length_b 6.465
_cell_length_c 16.926
_cell_angle_alpha 90.00
_cell_angle_beta 90.00
_cell_angle_gamma 90.00
_space_group_name_H-M_alt 'I m m m'
_space_group_IT_number 71
_space_group_name_Hall '-I 2 2'
loop_
_atom_site_label
_atom_site_type_symbol
_atom_site_fract_x
_atom_site_fract_y
_atom_site_fract_z
Hg1 Hg 0.000 0.000 0.167
Sb1 Sb 0.000 0.218 0.000
I1 I 0.000 0.000 0.345
```

Computed properties:
crystal system	orthorhombic
N(E_F)	0.548	states/eV/atom
energy relative to the elements, uncorrected	0.181	eV/atom
polymorph energy (0 for the lowest one)	32.2	kJ/mol of atoms